Below is a geometry-optimized HgMoP2O structure, with properties calculated at the PBE+U level.

Calculated values
Magnetic moment (μB per cell): 2.51
Raw total energy (eV per cell): -17.43
DOS at the Fermi energy (states/eV/f.u.): 2.2

a b c (Å): 5.018 5.018 4.102
angles (deg): 90.00 90.00 90.00
Space group P4/mmm (No. 123)
Inequivalent atoms, fractional coordinates:
Hg  0.000  0.000  0.000
Mo  0.500  0.500  0.500
P  0.000  0.500  0.000
O  0.000  0.000  0.500